No. 1
A plane-wave DFT calculation with GGA-PBEsol was carried out for Y2HgCl after structural relaxation.

Values from the calculation:
Symmetry ... Fm-3m
Offset from the most stable computed form ... 0 meV/atom
Formation energy from raw total energies ... -0.75 eV per atom
Crystal system ... cubic
VASP energy ... -4.8034 eV/atom

Cell lengths 5.108, 5.108, 5.108 Å; angles 60.00, 60.00, 60.00 degrees
Atoms (fractional coordinates):
Y 0.250 0.250 0.250
Y 0.750 0.750 0.750
Hg 0.000 0.000 0.000
Cl 0.500 0.500 0.500

---

No. 2
A plane-wave DFT calculation with GGA-PBEsol was carried out for CdGa2Hg after structural relaxation.

Values from the calculation:
Symmetry ... Fm-3m
Offset from the most stable computed form ... 17 meV/atom
ΔE_f ... 0.089 eV per atom
Crystal system ... cubic
VASP energy ... -2.0221 eV/atom

Cell lengths 4.876, 4.876, 4.876 Å; angles 60.00, 60.00, 60.00 degrees
Atoms (fractional coordinates):
Cd 0.000 0.000 0.000
Ga 0.250 0.250 0.250
Ga 0.750 0.750 0.750
Hg 0.500 0.500 0.500

---

No. 3
A plane-wave DFT calculation with GGA-PBEsol was carried out for GaRuS2N after structural relaxation.

Values from the calculation:
Symmetry ... P4/mmm
Formation energy from raw total energies ... 0.24 eV per atom
Crystal system ... tetragonal
VASP energy ... -5.9166 eV/atom

Cell lengths 4.771, 4.771, 3.602 Å; angles 90.00, 90.00, 90.00 degrees
Atoms (fractional coordinates):
Ga 0.000 0.000 0.000
Ru 0.500 0.500 0.500
S 0.000 0.500 0.500
S 0.500 0.000 0.500
N 0.500 0.500 0.000

---

No. 4
A plane-wave DFT calculation with GGA-PBEsol was carried out for Li2UN2 after structural relaxation.

Values from the calculation:
Symmetry ... P-3m1
Formation energy from raw total energies ... -0.98 eV per atom
Crystal system ... trigonal
VASP energy ... -7.6112 eV/atom

Cell lengths 3.440, 3.440, 5.483 Å; angles 90.00, 90.00, 120.00 degrees
Atoms (fractional coordinates):
Li 0.333 0.667 0.108
Li 0.667 0.333 0.892
U 0.000 0.000 0.500
N 0.333 0.667 0.724
N 0.667 0.333 0.276

---

No. 5
A plane-wave DFT calculation with GGA-PBEsol was carried out for NaSbSe3 after structural relaxation.

Values from the calculation:
Symmetry ... Pm-3m
Offset from the most stable computed form ... 685 meV/atom
Formation energy from raw total energies ... 0.61 eV per atom
Crystal system ... cubic
VASP energy ... -2.8943 eV/atom

Cell lengths 4.988, 4.988, 4.988 Å; angles 90.00, 90.00, 90.00 degrees
Atoms (fractional coordinates):
Na 0.000 0.000 0.000
Sb 0.500 0.500 0.500
Se 0.000 0.000 0.500
Se 0.000 0.500 0.000
Se 0.500 0.000 0.000

---

No. 6
A plane-wave DFT calculation with GGA-PBEsol was carried out for Cu3Mo4O12 after structural relaxation.

Values from the calculation:
Symmetry ... Im-3
Formation energy from raw total energies ... -1.59 eV per atom
Crystal system ... cubic
VASP energy ... -8.0640 eV/atom

Cell lengths 6.406, 6.406, 6.406 Å; angles 109.47, 109.47, 109.47 degrees
Atoms (fractional coordinates):
Cu 0.000 0.500 0.500
Cu 0.500 0.000 0.500
Cu 0.500 0.500 0.000
Mo 0.000 0.000 0.500
Mo 0.000 0.500 0.000
Mo 0.500 0.000 0.000
Mo 0.500 0.500 0.500
O 0.119 0.305 0.814
O 0.186 0.492 0.305
O 0.186 0.881 0.695
O 0.305 0.186 0.492
O 0.305 0.814 0.119
O 0.492 0.305 0.186
O 0.508 0.695 0.814
O 0.695 0.186 0.881
O 0.695 0.814 0.508
O 0.814 0.119 0.305
O 0.814 0.508 0.695
O 0.881 0.695 0.186

---

No. 7
A plane-wave DFT calculation with GGA-PBEsol was carried out for BaCu2Cl after structural relaxation.

Values from the calculation:
Symmetry ... P4/mmm
Formation energy from raw total energies ... -0.25 eV per atom
Crystal system ... tetragonal
VASP energy ... -3.4535 eV/atom

Cell lengths 4.119, 4.119, 5.625 Å; angles 90.00, 90.00, 90.00 degrees
Atoms (fractional coordinates):
Ba 0.000 0.000 0.000
Cu 0.000 0.500 0.500
Cu 0.500 0.000 0.500
Cl 0.500 0.500 0.000

---

No. 8
A plane-wave DFT calculation with GGA-PBEsol was carried out for NiTe2Cl after structural relaxation.

Values from the calculation:
Symmetry ... Fm-3m
Formation energy from raw total energies ... 0.24 eV per atom
Crystal system ... cubic
VASP energy ... -3.5639 eV/atom

Cell lengths 4.787, 4.787, 4.787 Å; angles 60.00, 60.00, 60.00 degrees
Atoms (fractional coordinates):
Ni 0.000 0.000 0.000
Te 0.250 0.250 0.250
Te 0.750 0.750 0.750
Cl 0.500 0.500 0.500

---

No. 9
A plane-wave DFT calculation with GGA-PBEsol was carried out for HgOsSeN2 after structural relaxation.

Values from the calculation:
Symmetry ... P4/mmm
Formation energy from raw total energies ... 0.51 eV per atom
Crystal system ... tetragonal
VASP energy ... -6.2237 eV/atom

Cell lengths 3.807, 3.807, 5.464 Å; angles 90.00, 90.00, 90.00 degrees
Atoms (fractional coordinates):
Hg 0.000 0.000 0.000
Os 0.500 0.500 0.500
Se 0.500 0.500 0.000
N 0.000 0.500 0.500
N 0.500 0.000 0.500

---

No. 10
A plane-wave DFT calculation with GGA-PBEsol was carried out for LiTcI2 after structural relaxation.

Values from the calculation:
Symmetry ... Fm-3m
Formation energy from raw total energies ... 0.34 eV per atom
Crystal system ... cubic
VASP energy ... -3.8540 eV/atom

Cell lengths 4.833, 4.833, 4.833 Å; angles 60.00, 60.00, 60.00 degrees
Atoms (fractional coordinates):
Li 0.000 0.000 0.000
Tc 0.500 0.500 0.500
I 0.250 0.250 0.250
I 0.750 0.750 0.750

---

No. 11
A plane-wave DFT calculation with GGA-PBEsol was carried out for ZnFe2Co after structural relaxation.

Values from the calculation:
Symmetry ... I4/mmm
ΔE_f ... 0.040 eV per atom
Crystal system ... tetragonal
VASP energy ... -6.7710 eV/atom

Cell lengths 4.359, 4.359, 4.359 Å; angles 131.59, 131.59, 70.88 degrees
Atoms (fractional coordinates):
Zn 0.000 0.000 0.000
Fe 0.250 0.750 0.500
Fe 0.750 0.250 0.500
Co 0.500 0.500 0.000

---

No. 12
A plane-wave DFT calculation with GGA-PBEsol was carried out for CdIn after structural relaxation.

Values from the calculation:
Symmetry ... P-6m2
ΔE_f ... 0.049 eV per atom
Crystal system ... hexagonal
VASP energy ... -2.0406 eV/atom

Cell lengths 3.158, 3.158, 5.414 Å; angles 90.00, 90.00, 120.00 degrees
Atoms (fractional coordinates):
Cd 0.000 0.000 0.000
In 0.333 0.667 0.500

---

No. 13
A plane-wave DFT calculation with GGA-PBEsol was carried out for Be2HgAs after structural relaxation.

Values from the calculation:
Symmetry ... Pm
ΔE_f ... 0.247 eV per atom
Crystal system ... monoclinic
VASP energy ... -3.1710 eV/atom

Cell lengths 3.415, 3.517, 5.442 Å; angles 90.00, 94.50, 90.00 degrees
Atoms (fractional coordinates):
Be 0.000 0.000 0.000
Be 0.044 0.500 0.243
Hg 0.008 0.500 0.695
As 0.534 0.000 0.261

---

No. 14
A plane-wave DFT calculation with GGA-PBEsol was carried out for SrHgSb2 after structural relaxation.

Values from the calculation:
Symmetry ... F-43m
Formation energy from raw total energies ... -0.34 eV per atom
Crystal system ... cubic
VASP energy ... -3.2215 eV/atom

Cell lengths 5.418, 5.418, 5.418 Å; angles 60.00, 60.00, 60.00 degrees
Atoms (fractional coordinates):
Sr 0.000 0.000 0.000
Hg 0.750 0.750 0.750
Sb 0.250 0.250 0.250
Sb 0.500 0.500 0.500

---

No. 15
A plane-wave DFT calculation with GGA-PBEsol was carried out for LaCrSeS2 after structural relaxation.

Values from the calculation:
Symmetry ... P4/mmm
Formation energy from raw total energies ... -1.15 eV per atom
Crystal system ... tetragonal
VASP energy ... -6.7888 eV/atom

Cell lengths 4.572, 4.572, 4.850 Å; angles 90.00, 90.00, 90.00 degrees
Atoms (fractional coordinates):
La 0.000 0.000 0.000
Cr 0.500 0.500 0.500
Se 0.500 0.500 0.000
S 0.000 0.500 0.500
S 0.500 0.000 0.500

---

No. 16
A plane-wave DFT calculation with GGA-PBEsol was carried out for Ti2Ni2Pd after structural relaxation.

Values from the calculation:
Symmetry ... P4/mbm
ΔE_f ... -0.512 eV per atom
Crystal system ... tetragonal
VASP energy ... -7.4953 eV/atom

Cell lengths 6.780, 6.780, 2.883 Å; angles 90.00, 90.00, 90.00 degrees
Atoms (fractional coordinates):
Ti 0.172 0.328 0.000
Ti 0.328 0.828 0.000
Ti 0.672 0.172 0.000
Ti 0.828 0.672 0.000
Ni 0.127 0.627 0.500
Ni 0.373 0.127 0.500
Ni 0.627 0.873 0.500
Ni 0.873 0.373 0.500
Pd 0.000 0.000 0.500
Pd 0.500 0.500 0.500

---

No. 17
A plane-wave DFT calculation with GGA-PBEsol was carried out for Nb2B2Ir after structural relaxation.

Values from the calculation:
Symmetry ... P4/mbm
ΔE_f ... -0.705 eV per atom
Crystal system ... tetragonal
VASP energy ... -9.8045 eV/atom

Cell lengths 5.709, 5.709, 3.659 Å; angles 90.00, 90.00, 90.00 degrees
Atoms (fractional coordinates):
Nb 0.175 0.325 0.000
Nb 0.325 0.825 0.000
Nb 0.675 0.175 0.000
Nb 0.825 0.675 0.000
B 0.116 0.616 0.500
B 0.384 0.116 0.500
B 0.616 0.884 0.500
B 0.884 0.384 0.500
Ir 0.000 0.000 0.500
Ir 0.500 0.500 0.500

---

No. 18
A plane-wave DFT calculation with GGA-PBEsol was carried out for Zn3TcW after structural relaxation.

Values from the calculation:
Symmetry ... Pm-3m
ΔE_f ... 1.902 eV per atom
Crystal system ... cubic
VASP energy ... -4.0619 eV/atom

Cell lengths 4.698, 4.698, 4.698 Å; angles 90.00, 90.00, 90.00 degrees
Atoms (fractional coordinates):
Zn 0.000 0.000 0.500
Zn 0.000 0.500 0.000
Zn 0.500 0.000 0.000
Tc 0.500 0.500 0.500
W 0.000 0.000 0.000

---

No. 19
A plane-wave DFT calculation with GGA-PBEsol was carried out for NiTeRh2 after structural relaxation.

Values from the calculation:
Symmetry ... R-3m
Formation energy from raw total energies ... 0.35 eV per atom
Crystal system ... trigonal
VASP energy ... -6.1369 eV/atom

Cell lengths 7.843, 7.843, 7.843 Å; angles 22.52, 22.52, 22.52 degrees
Atoms (fractional coordinates):
Ni 0.000 0.000 0.000
Te 0.500 0.500 0.500
Rh 0.253 0.253 0.253
Rh 0.747 0.747 0.747

---

No. 20
A plane-wave DFT calculation with GGA-PBEsol was carried out for Cr2CuSe4 after structural relaxation.

Values from the calculation:
Symmetry ... Fd-3m
Formation energy from raw total energies ... -0.44 eV per atom
Crystal system ... cubic
VASP energy ... -6.1871 eV/atom

Cell lengths 7.222, 7.222, 7.222 Å; angles 60.00, 60.00, 60.00 degrees
Atoms (fractional coordinates):
Cr 0.000 0.000 0.000
Cr 0.000 0.000 0.500
Cr 0.000 0.500 0.000
Cr 0.500 0.000 0.000
Cu 0.375 0.375 0.375
Cu 0.625 0.625 0.625
Se 0.228 0.757 0.757
Se 0.243 0.243 0.243
Se 0.243 0.243 0.772
Se 0.243 0.772 0.243
Se 0.757 0.228 0.757
Se 0.757 0.757 0.228
Se 0.757 0.757 0.757
Se 0.772 0.243 0.243

---

DOS at the Fermi energy values, unit states/eV/atom, following the record order: 0.929, 0.453, 0.875, 0.761, 1.312, 0.247, 0.308, 0.639, 0.391, 0.729, 0.668, 0.430, 0.252, 0.881, 0.601, 0.602, 0.620, 0.722, 1.789, 0.229.
Ρ values, unit g cm⁻³, following the record order: 7.3, 9.2, 5.0, 8.3, 5.1, 6.3, 5.2, 7.5, 10.4, 7.5, 8.6, 8.1, 7.5, 7.9, 5.5, 8.0, 11.1, 7.7, 10.5, 6.0.